[1]
A plane-wave DFT calculation with PBE was carried out for Zn2CuBr after structural relaxation.

Values from the calculation:
Energy relative to the elements, uncorrected   21 kJ/mol of formula units
Excess energy over the best structure of this formula in the dataset   100.1 meV/atom
Calculated density   6.20 g cm⁻³

Unit cell a=3.3413 b=3.2870 c=6.7205 alpha=90.00 beta=95.94 gamma=90.00
Last column: nearest neighbours and their distance in Å.
Space group P2/m (No. 10)
One atom of each set of equivalent atoms:
Zn (0.0513, 0.0000, 0.1870) (multiplicity 2)  1 Zn 2.50, 4 Cu 2.63-2.68, 2 Br 2.69
Cu (0.5000, 0.5000, 0.0000) (multiplicity 1)  8 Zn 2.63-2.68
Br (0.0000, 0.5000, 0.5000) (multiplicity 1)  4 Zn 2.69

[2]
A plane-wave DFT calculation with PBE was carried out for Zn3Cu7Ge2 after structural relaxation.

Values from the calculation:
Calculated density   7.94 g cm⁻³
Raw total energy   -41.028 eV for the cell shown

Unit cell a=4.7325 b=4.9782 c=7.7181 alpha=95.83 beta=93.56 gamma=113.85
Last column: nearest neighbours and their distance in Å.
Space group P-1 (No. 2)
One atom of each set of equivalent atoms:
Zn (0.0000, 0.0000, 0.0000) (multiplicity 1)  2 Zn 2.56, 8 Cu 2.60-2.85
Zn (0.0190, 0.0265, 0.6716) (multiplicity 2)  5 Cu 2.48-2.70, 2 Zn 2.56-2.62, 2 Ge 2.64-2.67
Cu (0.0311, 0.5363, 0.8282) (multiplicity 2)  2 Ge 2.55-2.62, 5 Cu 2.59-2.75, 3 Zn 2.60-2.85
Cu (0.2650, 0.7451, 0.4988) (multiplicity 2)  2 Ge 2.45, 2 Zn 2.48-2.50, 2 Cu 2.61-2.70
Cu (0.4703, 0.9615, 0.1716) (multiplicity 2)  5 Cu 2.59-2.75, 4 Zn 2.60-2.85, 2 Ge 2.61-2.78
Cu (0.5000, 0.5000, 0.0000) (multiplicity 1)  2 Ge 2.40, 4 Cu 2.59, 2 Zn 2.65
Ge (0.4748, 0.4654, 0.3064) (multiplicity 2)  6 Cu 2.40-2.62, 2 Zn 2.64-2.67

[3]
A plane-wave DFT calculation with PBE was carried out for Er2ThSe after structural relaxation.

Values from the calculation:
Energy relative to the elements, uncorrected   -266 kJ/mol of formula units
Excess energy over the best structure of this formula in the dataset   110.0 meV/atom
Calculated density   9.91 g cm⁻³

Unit cell a=3.5887 b=3.5887 c=8.3962 alpha=90.00 beta=90.00 gamma=90.00
Last column: nearest neighbours and their distance in Å.
Space group P4/mmm (No. 123)
One atom of each set of equivalent atoms:
Er (0.0000, 0.0000, 0.2110) (multiplicity 2)  4 Se 3.09
Th (0.5000, 0.5000, 0.5000) (multiplicity 1)  8 Er 3.51, 4 Th 3.59
Se (0.5000, 0.5000, 0.0000) (multiplicity 1)  8 Er 3.09